{"formula": "Rb2Na3WO6", "functional": "PBE with a Hubbard U", "state": "optimized geometry", "cell": [[6.7994, -0.2221, -0.0081], [-3.5904, 5.7785, -0.0081], [-1.0772, -1.8652, 5.3983]], "species": ["Rb", "Rb", "Na", "Na", "Na", "W", "O", "O", "O", "O", "O", "O"], "fractional_positions": [[0.3257, 0.6743, 0.0000], [0.6743, 0.3257, 0.0000], [0.1250, 0.8750, 0.5000], [0.8750, 0.1250, 0.5000], [0.5000, 0.5000, 0.5000], [0.0000, 0.0000, 0.0000], [0.9261, 0.6964, 0.7743], [0.8055, 0.8055, 0.1923], [0.0739, 0.3036, 0.2257], [0.6964, 0.9261, 0.7743], [0.1945, 0.1945, 0.8077], [0.3036, 0.0739, 0.2257]], "dft_energy_ev_per_atom": -5.209, "magnetic_moment_mub_per_atom": 0.089, "dos_ef_per_ev_atom": 0.807}